# 1
A geometry-optimized LiTlIr2 structure, computed with PBE.

The structure in extended XYZ format:
```
4
Lattice="2.855 0.000 0.000 0.000 4.046 0.000 -0.022 0.000 5.680" Properties=species:S:1:pos:R:3 pbc="T T T"
Li 0.000 0.000 0.000
Tl 1.424 2.023 1.386
Ir 1.409 2.023 4.229
Ir 2.839 0.000 3.188
```



# 2
A geometry-optimized Li2TlIr2 structure, computed with PBE.

The structure in extended XYZ format:
```
10
Lattice="7.081 0.000 0.000 0.000 7.081 0.000 0.000 0.000 3.117" Properties=species:S:1:pos:R:3 pbc="T T T"
Li 1.177 2.363 0.000
Li 2.363 5.903 0.000
Li 4.717 1.177 0.000
Li 5.903 4.717 0.000
Tl 0.000 0.000 1.559
Tl 3.540 3.540 1.559
Ir 0.892 4.432 1.559
Ir 2.649 0.892 1.559
Ir 4.432 6.189 1.559
Ir 6.189 2.649 1.559
```



| no. | calculated volume (Å³ per cell) | energy relative to the elements (eV per atom) |
| --- | --- | --- |
| 1 | 66 | 0.18 |
| 2 | 156 | 0.16 |